# KSrRhF6

A geometry-optimized KSrRhF6 structure (PBE-GGA, Alexandria via LeMat-Bulk).

abc: 7.533 7.533 7.533
angles: 120.45 115.66 93.46
Atoms (fractional coordinates):
K1 0.347 0.097 0.250
K2 0.653 0.903 0.750
Sr1 0.000 0.500 0.500
Sr2 0.500 0.500 0.000
Rh1 0.000 0.000 0.500
Rh2 0.000 0.500 0.000
F1 0.042 0.325 0.136
F2 0.042 0.906 0.716
F3 0.075 0.325 0.750
F4 0.310 0.094 0.636
F5 0.310 0.675 0.216
F6 0.377 0.627 0.750
F7 0.623 0.373 0.250
F8 0.690 0.325 0.784
F9 0.690 0.906 0.364
F10 0.925 0.675 0.250
F11 0.958 0.094 0.284
F12 0.958 0.675 0.864

The space-group type is Imma, No. 74. As for the formation energy without anion corrections: -2630 meV/atom. Its total magnetization is 0.13 μB per cell.